HoScAl2Zn2 | PBE | relaxed

Cell lengths 4.409, 4.409, 6.865 Å; angles 90.00, 90.00, 120.00 degrees
Atoms (fractional coordinates):
Sc 0.000 0.000 0.000
Zn 0.667 0.333 0.775
Zn 0.333 0.667 0.225
Al 0.667 0.333 0.228
Al 0.333 0.667 0.772
Ho 0.000 0.000 0.500

**Crystal system**: trigonal
**Total DFT energy (no corrections)**: -0.145 hartree per atom



Ho2ScAl3Zn6 | PBE | relaxed

Cell lengths 3.909, 3.909, 17.676 Å; angles 90.00, 90.00, 90.00 degrees
Atoms (fractional coordinates):
Al 0.000 0.000 0.721
Al 0.000 0.000 0.279
Al 0.000 0.000 0.000
Zn 0.500 0.000 0.622
Zn 0.000 0.500 0.378
Zn 0.000 0.000 0.864
Zn 0.000 0.000 0.136
Zn 0.000 0.500 0.622
Zn 0.500 0.000 0.378
Ho 0.500 0.500 0.212
Ho 0.500 0.500 0.788
Sc 0.500 0.500 0.500

**Crystal system**: tetragonal
**Total DFT energy (no corrections)**: -0.103 hartree per atom



HoZrScAl | PBE | relaxed

Cell lengths 5.053, 5.053, 5.053 Å; angles 60.00, 60.00, 60.00 degrees
Last column: magnetic moment on the atom in μB.
Atoms (fractional coordinates):
Zr 0.750 0.750 0.750  0.20
Ho 0.250 0.250 0.250  0.09
Sc 0.000 0.000 0.000  0.17
Al 0.500 0.500 0.500  -0.01

**Crystal system**: cubic
**Total DFT energy (no corrections)**: -0.216 hartree per atom



Number 1: total magnetization 0.00 Bohr magnetons per cell. Number 2: total magnetization 0.00 Bohr magnetons per cell. Number 3: total magnetization 0.65 Bohr magnetons per cell.